# NaAgO2

A relaxed NaAgO2 crystal (GGA-PBE, OQMD via LeMat-Bulk).

a b c (Å): 5.480 5.480 5.480
angles (deg): 35.07 35.07 35.07
Atoms (fractional coordinates):
1 Na 0.000 0.000 0.000
2 O 0.761 0.761 0.761
3 Ag 0.500 0.500 0.500
4 O 0.239 0.239 0.239

Values from the calculation:
Its space group is No. 166. The total energy is -4.00 eV per atom.